DFT (PBE) results for crystalline Ce3Pm2ThTe6 at its relaxed geometry.

a b c (Å): 19.5416 4.4549 8.9968
angles (deg): 90.00 103.65 90.00
Space group C2/m (No. 12)
Unique sites:
Ce (0.0000, 0.0000, 0.0000) [2 per cell]
Ce (0.1659, 0.5000, 0.3341) [4 per cell]
Pm (0.1660, 0.5000, 0.8322) [4 per cell]
Th (0.0000, 0.0000, 0.5000) [2 per cell]
Te (0.0007, 0.5000, 0.7517) [4 per cell]
Te (0.1675, 0.0000, 0.5854) [4 per cell]
Te (0.1675, 0.0000, 0.0827) [4 per cell]

Results
The calculation puts the formation energy without anion corrections at -1535 kJ/mol of formula units. The value obtained for the density of states at the Fermi level is 48.02 states/eV per cell. As for the calculated total energy: -5.79 eV/atom.


DFT (PBE) results for crystalline YGeBi2 at its relaxed geometry.

a b c (Å): 6.9775 6.9775 13.2121
angles (deg): 90.00 90.00 90.00
Space group I-42d (No. 122)
Unique sites:
Y (0.0000, 0.0000, 0.0000) [4 per cell]
Ge (0.0000, 0.0000, 0.5000) [4 per cell]
Bi (0.2200, 0.2500, 0.6250) [8 per cell]

Results
The value obtained for the density of states at the Fermi level is 16.55 states/eV per cell. As for the calculated total energy: -4.67 eV/atom. The formation enthalpy at 0 K is 1.0 kcal/mol of atoms.


DFT (PBE) results for crystalline LaMo2As2 at its relaxed geometry.

a b c (Å): 7.8901 7.8901 3.1690
angles (deg): 90.00 90.00 90.00
Space group P4/mbm (No. 127)
Unique sites:
La (0.0000, 0.0000, 0.0000) [2 per cell]
Mo (0.1136, 0.3864, 0.5000) [4 per cell]
As (0.1536, 0.6536, 0.0000) [4 per cell]

Results
For the relative energy among the computed polymorphs, the calculation gives 431 meV per atom. The value obtained for the density of states at the Fermi level is 8.16 states/eV per cell. As for the calculated total energy: -7.30 eV/atom. The formation enthalpy at 0 K is -2.7 kcal/mol of atoms.